1.
# LiCaBiH2 (PBE-GGA, relaxed)
data_LiCaBiH2
_space_group_name_H-M_alt 'P 4/m m m'
_space_group_IT_number 123
_space_group_name_Hall '-P 4 2'
_cell_length_a 4.420
_cell_length_b 4.420
_cell_length_c 5.349
_cell_angle_alpha 90.00
_cell_angle_beta 90.00
_cell_angle_gamma 90.00
loop_
_atom_site_label
_atom_site_fract_x
_atom_site_fract_y
_atom_site_fract_z
_atom_site_occupancy
Li1 0.000 0.000 0.000 1
Ca1 0.500 0.500 0.000 1
Bi1 0.000 0.000 0.500 1
H1 0.000 0.500 0.500 1
# * total DFT energy (no corrections): -13.1 eV for the cell shown
# * magnetization: 0.000 μB per formula unit

2.
# Li2CaBiH (PBE-GGA, relaxed)
data_Li2CaBiH
_space_group_name_H-M_alt 'P 4/m m m'
_space_group_IT_number 123
_space_group_name_Hall '-P 4 2'
_cell_length_a 4.522
_cell_length_b 4.522
_cell_length_c 4.709
_cell_angle_alpha 90.00
_cell_angle_beta 90.00
_cell_angle_gamma 90.00
loop_
_atom_site_label
_atom_site_fract_x
_atom_site_fract_y
_atom_site_fract_z
_atom_site_occupancy
Li1 0.000 0.500 0.000 1
Ca1 0.000 0.000 0.500 1
Bi1 0.500 0.500 0.500 1
H1 0.000 0.000 0.000 1
# * total DFT energy (no corrections): -15.9 eV for the cell shown
# * magnetization: 0.000 μB per formula unit